Entry 1:
# BaAgN2F

A relaxed structure of BaAgN2F (PBE-GGA, Alexandria via LeMat-Bulk).

Results
N(E_F): 1.8 states/eV/cell

abc: 5.436 5.436 4.929
angles: 90.00 90.00 90.00
Element x y z (fractional)
Ba  0.000  0.000  0.000
Ag  0.500  0.500  0.500
N  0.000  0.500  0.000
N  0.500  0.000  0.000
F  0.000  0.000  0.500

=====

Entry 2:
# BaAgNF2

A relaxed structure of BaAgNF2 (PBE-GGA, Alexandria via LeMat-Bulk).

Results
N(E_F): 2.1 states/eV/cell

abc: 4.618 4.618 4.092
angles: 90.00 90.00 90.00
Element x y z (fractional)
Ba  0.000  0.000  0.000
Ag  0.500  0.500  0.500
N  0.500  0.500  0.000
F  0.000  0.500  0.500
F  0.500  0.000  0.500

=====

Entry 3:
# BaAgNF2

A relaxed structure of BaAgNF2 (PBE-GGA, Alexandria via LeMat-Bulk).

Results
N(E_F): 3.1 states/eV/cell

abc: 4.988 4.988 5.597
angles: 90.00 90.00 90.00
Element x y z (fractional)
Ba  0.000  0.000  0.000
Ag  0.500  0.500  0.500
N  0.000  0.000  0.500
F  0.000  0.500  0.000
F  0.500  0.000  0.000

=====

Entry 4:
# BaNa2AgF8

A relaxed structure of BaNa2AgF8 (PBE-GGA, Alexandria via LeMat-Bulk).

Results
N(E_F): 3.3 states/eV/cell

abc: 4.458 5.581 7.821
angles: 93.26 94.50 92.71
Element x y z (fractional)
Ba  0.000  0.000  0.000
Na  0.453  0.464  0.751
Na  0.547  0.536  0.249
Ag  0.000  0.000  0.500
F  0.084  0.739  0.283
F  0.176  0.821  0.694
F  0.352  0.224  0.494
F  0.496  0.738  0.989
F  0.504  0.262  0.011
F  0.648  0.776  0.506
F  0.824  0.179  0.306
F  0.916  0.261  0.717

=====

Entry 5:
# BaNaAg2F6

A relaxed structure of BaNaAg2F6 (PBE-GGA, Alexandria via LeMat-Bulk).

Results
N(E_F): 7.9 states/eV/cell

abc: 5.918 6.472 10.582
angles: 90.00 120.68 90.00
Element x y z (fractional)
Ba  0.000  0.000  0.000
Ba  0.000  0.500  0.500
Na  0.500  0.000  0.500
Na  0.500  0.500  0.000
Ag  0.213  0.054  0.706
Ag  0.213  0.446  0.206
Ag  0.787  0.554  0.794
Ag  0.787  0.946  0.294
F  0.074  0.159  0.271
F  0.074  0.341  0.771
F  0.238  0.663  0.050
F  0.238  0.837  0.550
F  0.427  0.228  0.131
F  0.427  0.272  0.631
F  0.573  0.728  0.369
F  0.573  0.772  0.869
F  0.762  0.163  0.450
F  0.762  0.337  0.950
F  0.926  0.659  0.229
F  0.926  0.841  0.729

=====

Entry 6:
# Ba2NaAgF6

A relaxed structure of Ba2NaAgF6 (PBE-GGA, Alexandria via LeMat-Bulk).

Results
N(E_F): 0.0 states/eV/cell

abc: 6.255 6.255 6.255
angles: 60.00 60.00 60.00
Element x y z (fractional)
Ba  0.250  0.250  0.250
Ba  0.750  0.750  0.750
Na  0.000  0.000  0.000
Ag  0.500  0.500  0.500
F  0.239  0.239  0.761
F  0.239  0.761  0.239
F  0.239  0.761  0.761
F  0.761  0.239  0.239
F  0.761  0.239  0.761
F  0.761  0.761  0.239

=====

Entry 7:
# BaNaAg2F8

A relaxed structure of BaNaAg2F8 (PBE-GGA, Alexandria via LeMat-Bulk).

Results
N(E_F): 5.3 states/eV/cell

abc: 6.599 6.599 6.599
angles: 125.22 125.22 81.17
Element x y z (fractional)
Ba  0.000  0.000  0.000
Na  0.250  0.750  0.500
Ag  0.500  0.500  0.000
Ag  0.750  0.250  0.500
F  0.041  0.382  0.962
F  0.196  0.429  0.600
F  0.404  0.804  0.233
F  0.420  0.079  0.038
F  0.571  0.170  0.767
F  0.618  0.580  0.659
F  0.830  0.596  0.400
F  0.921  0.959  0.341

=====

Entry 8:
# Ba2NaAgF

A relaxed structure of Ba2NaAgF (PBE-GGA, Alexandria via LeMat-Bulk).

Results
N(E_F): 3.7 states/eV/cell

abc: 5.732 5.732 4.741
angles: 90.00 90.00 90.00
Element x y z (fractional)
Ba  0.000  0.500  0.000
Ba  0.500  0.000  0.000
Na  0.000  0.000  0.500
Ag  0.500  0.500  0.500
F  0.000  0.000  0.000

=====

Entry 9:
# BaNa4Ag3F12

A relaxed structure of BaNa4Ag3F12 (PBE-GGA, Alexandria via LeMat-Bulk).

abc: 7.294 7.294 7.294
angles: 109.47 109.47 109.47
Element x y z (fractional)
Ba  0.000  0.000  0.000
Na  0.000  0.000  0.500
Na  0.000  0.500  0.000
Na  0.500  0.000  0.000
Na  0.500  0.500  0.500
Ag  0.000  0.500  0.500
Ag  0.500  0.000  0.500
Ag  0.500  0.500  0.000
F  0.143  0.306  0.837
F  0.163  0.470  0.306
F  0.163  0.857  0.694
F  0.306  0.163  0.470
F  0.306  0.837  0.143
F  0.470  0.306  0.163
F  0.530  0.694  0.837
F  0.694  0.163  0.857
F  0.694  0.837  0.530
F  0.837  0.143  0.306
F  0.837  0.530  0.694
F  0.857  0.694  0.163

=====

Entry 10:
# BaNb2AgF

A relaxed structure of BaNb2AgF (PBE-GGA, Alexandria via LeMat-Bulk).

Results
N(E_F): 5.6 states/eV/cell

abc: 5.026 5.026 6.167
angles: 90.00 90.00 90.00
Element x y z (fractional)
Ba  0.000  0.000  0.000
Nb  0.000  0.500  0.500
Nb  0.500  0.000  0.500
Ag  0.500  0.500  0.500
F  0.500  0.500  0.000

=====

| no. | raw total energy (eV per atom) |
| --- | --- |
| 1 | -3.90 |
| 2 | -4.54 |
| 3 | -4.11 |
| 4 | -4.09 |
| 5 | -4.19 |
| 6 | -4.75 |
| 7 | -4.03 |
| 8 | -3.09 |
| 9 | -4.12 |
| 10 | -4.47 |